Density functional theory data (PBE) for a relaxed structure of Y4Pd.

Calculated values
Energy relative to the elements, eV per atom: -0.280
Offset from the most stable computed form, meV/atom: 0
Space group: I-42d

Unit cell a=7.348 b=7.348 c=7.348 alpha=104.73 beta=104.73 gamma=119.44
Fractional coordinates of all 10 atoms:
Y  0.055  0.397  0.248
Y  0.147  0.305  0.748
Y  0.150  0.807  0.752
Y  0.193  0.945  0.343
Y  0.557  0.400  0.252
Y  0.600  0.853  0.157
Y  0.603  0.850  0.657
Y  0.695  0.443  0.843
Pd  0.000  0.000  0.000
Pd  0.750  0.250  0.500